(1)
Material: LiPrZnTe3
Method: DFT, PBE
State: optimized geometry

Geometry as POSCAR:
```
LiPrZnTe3
1.0
10.4290 -2.1556 0.0000
10.4290 2.1556 0.0000
-2.1480 0.0000 8.2231
Li Pr Zn Te
2 2 2 6
Direct
0.1047 0.1047 0.0832
0.8953 0.8953 0.9168
0.1716 0.1716 0.5854
0.8284 0.8284 0.4146
0.4562 0.4562 0.2710
0.5438 0.5438 0.7290
0.0000 0.0000 0.5000
0.3277 0.3277 0.6820
0.3291 0.3291 0.1429
0.5000 0.5000 0.0000
0.6709 0.6709 0.8571
0.6723 0.6723 0.3180
```

## Properties
Space-group type   C2/m
Total DFT energy (no corrections)   -3.754 eV per atom
E above lowest polymorph   112 meV per atom

(2)
Material: LiPrZnTe3
Method: DFT, PBE
State: optimized geometry

Geometry as POSCAR:
```
LiPrZnTe3
1.0
11.8602 0.0000 0.0000
0.0000 4.3201 0.0000
0.0000 0.0000 14.4574
Li Pr Zn Te
4 4 4 12
Direct
0.2479 0.2500 0.0615
0.2521 0.7500 0.5615
0.7479 0.2500 0.4385
0.7521 0.7500 0.9385
0.0008 0.7500 0.7491
0.4992 0.2500 0.2491
0.5008 0.7500 0.7509
0.9992 0.2500 0.2509
0.2491 0.7500 0.2280
0.2509 0.2500 0.7280
0.7491 0.7500 0.2720
0.7509 0.2500 0.7720
0.0790 0.7500 0.1039
0.0819 0.2500 0.6027
0.2496 0.2500 0.3418
0.2504 0.7500 0.8418
0.4181 0.7500 0.1027
0.4210 0.2500 0.6039
0.5790 0.7500 0.3961
0.5819 0.2500 0.8973
0.7496 0.2500 0.1582
0.7504 0.7500 0.6582
0.9181 0.7500 0.3973
0.9210 0.2500 0.8961
```

## Properties
Space-group type   Pnma
Total DFT energy (no corrections)   -3.851 eV per atom
E above lowest polymorph   16 meV per atom